Record 1
A plane-wave DFT calculation with PBE was carried out for an optimized crystal structure of BaReRu2.

Values from the calculation:
ρ	8.85	g/cm³
ΔE_f	0.490	eV/atom
distance to the lowest polymorph of the same formula	67	meV per atom
size of the total moment	0.00	μB/atom
space group	Cm, No. 8

Cell lengths 4.391, 4.391, 6.465 Å; angles 109.54, 109.54, 58.95 degrees
Atoms (fractional coordinates):
Ba1 0.000 0.000 0.000
Re1 0.192 0.192 0.568
Ru1 0.501 0.501 0.505
Ru2 0.809 0.809 0.436

Record 2
A plane-wave DFT calculation with PBE was carried out for an optimized crystal structure of BaReRu.

Values from the calculation:
ρ	11.40	g/cm³
ΔE_f	1.154	eV/atom
distance to the lowest polymorph of the same formula	600	meV per atom
size of the total moment	0.00	μB/atom
space group	P3m1, No. 156

Cell lengths 2.989, 2.989, 7.993 Å; angles 90.00, 90.00, 120.00 degrees
Atoms (fractional coordinates):
Ba1 0.000 0.000 0.000
Re1 0.667 0.333 0.382
Ru1 0.333 0.667 0.625

Record 3
A plane-wave DFT calculation with PBE was carried out for an optimized crystal structure of BaTi2ReRu.

Values from the calculation:
ρ	7.59	g/cm³
ΔE_f	2.725	eV/atom
size of the total moment	0.30	μB/atom
space group	P4/mmm, No. 123

Cell lengths 4.819, 4.819, 4.903 Å; angles 90.00, 90.00, 90.00 degrees
Atoms (fractional coordinates):
Ba1 0.000 0.000 0.000
Ti1 0.000 0.500 0.000
Ti2 0.500 0.000 0.000
Re1 0.000 0.000 0.500
Ru1 0.500 0.500 0.500